This record from the Alexandria database describes crystalline V3IrO9 at its relaxed geometry. The functional is PBE with a Hubbard U.

a = 7.092 Å, b = 8.026 Å, c = 9.092 Å
α = 73.52°, β = 67.04°, γ = 63.78°
Fractional positions:
Ir: 0.502 0.001 0.495
O: 0.359 0.199 0.338
O: 0.715 0.699 0.086
O: 0.645 0.802 0.651
O: 0.607 0.449 0.688
Ir: 0.003 0.501 0.995
O: 0.256 0.949 0.188
O: 0.882 0.485 0.836
V: 0.979 0.064 0.175
V: 0.224 0.437 0.314
O: 0.003 0.501 0.495
O: 0.901 0.302 0.151
O: 0.104 0.699 0.838
O: 0.748 0.051 0.801
O: 0.399 0.551 0.301
V: 0.025 0.937 0.814
O: 0.504 0.802 0.403
O: 0.797 0.985 0.336
V: 0.529 0.251 0.744
O: 0.291 0.302 0.903
O: 0.002 0.001 0.995
O: 0.207 0.016 0.653
V: 0.477 0.751 0.244
O: 0.500 0.199 0.586
V: 0.781 0.564 0.675
O: 0.124 0.516 0.153

Output
space group = Cc (9)
E_tot = -7.42 eV/atom